Compound: Th2MnTl
Source: Alexandria via LeMat-Bulk
Functional: PBE
Structure: relaxed

Its formation energy from the elements is 48.4 meV/atom. The value obtained for the size of the total moment is 0.0 μB per formula unit. As for the uncorrected energy: -0.481 Ry per atom. For the density of states at the Fermi level, the calculation gives 3.86 states/eV/f.u.

a b c (Å): 3.3856 3.3856 8.8629
angles (deg): 90.00 90.00 90.00
Atoms (fractional coordinates):
Tl (0.5000, 0.5000, 0.5000)
Mn (0.5000, 0.5000, 0.0000)
Th (0.0000, 0.0000, 0.8033)
Th (0.0000, 0.0000, 0.1967)

=====

Compound: Th2MnTl
Source: Alexandria via LeMat-Bulk
Functional: PBE
Structure: relaxed

Its formation energy from the elements is 117.3 meV/atom. The value obtained for the size of the total moment is 0.0 μB per formula unit. As for the uncorrected energy: -0.476 Ry per atom. For the density of states at the Fermi level, the calculation gives 4.50 states/eV/f.u.

a b c (Å): 3.9404 3.9404 8.5858
angles (deg): 76.73 76.73 60.00
Atoms (fractional coordinates):
Tl (0.5000, 0.5000, 0.5000)
Mn (0.0000, 0.0000, 0.0000)
Th (0.2741, 0.2741, 0.1776)
Th (0.7259, 0.7259, 0.8224)

=====

Compound: ThMnTl
Source: Alexandria via LeMat-Bulk
Functional: PBE
Structure: relaxed

Its formation energy from the elements is 319.2 meV/atom. The value obtained for the size of the total moment is 2.4 μB per formula unit. As for the uncorrected energy: -0.441 Ry per atom. For the density of states at the Fermi level, the calculation gives 2.98 states/eV/f.u.

a b c (Å): 3.3303 5.7410 8.2933
angles (deg): 103.11 90.00 106.86
Last column: magnetic moment on the atom in μB.
Atoms (fractional coordinates):
Th (0.1598, 0.3196, 0.8089)  -0.32
Th (0.8402, 0.6804, 0.1911)  -0.32
Tl (0.3837, 0.7673, 0.5796)  -0.03
Tl (0.6163, 0.2327, 0.4204)  -0.03
Mn (0.0965, 0.1930, 0.1268)  2.90
Mn (0.9035, 0.8070, 0.8732)  2.90

=====

Compound: Th2MnTl
Source: Alexandria via LeMat-Bulk
Functional: PBE
Structure: relaxed

Its formation energy from the elements is -0.5 meV/atom. The value obtained for the size of the total moment is 1.2 μB per formula unit. As for the uncorrected energy: -0.485 Ry per atom. For the density of states at the Fermi level, the calculation gives 5.16 states/eV/f.u.

a b c (Å): 3.8511 6.2042 9.7440
angles (deg): 111.86 90.00 90.00
Last column: magnetic moment on the atom in μB.
Atoms (fractional coordinates):
Th (0.7776, 0.6491, 0.4102)  -0.06
Th (0.2776, 0.0947, 0.2999)  -0.03
Th (0.2776, 0.5369, 0.6931)  -0.06
Th (0.7777, 0.0913, 0.8035)  -0.03
Mn (0.2778, 0.0029, 0.5780)  1.25
Mn (0.7778, 0.1831, 0.5254)  1.25
Tl (0.7776, 0.7603, 0.0101)  0.01
Tl (0.2776, 0.4258, 0.0933)  0.01

=====

Compound: ThMnTl
Source: Alexandria via LeMat-Bulk
Functional: PBE
Structure: relaxed

Its formation energy from the elements is -27.0 meV/atom. The value obtained for the size of the total moment is 0.0 μB per formula unit. As for the uncorrected energy: -0.466 Ry per atom. For the density of states at the Fermi level, the calculation gives 2.41 states/eV/f.u.

a b c (Å): 3.8460 4.3355 8.8450
angles (deg): 104.19 90.00 90.00
Atoms (fractional coordinates):
Th (0.2500, 0.9091, 0.8183)
Th (0.7500, 0.0909, 0.1817)
Mn (0.2500, 0.5310, 0.0620)
Mn (0.7500, 0.4690, 0.9380)
Tl (0.7500, 0.2965, 0.5930)
Tl (0.2500, 0.7035, 0.4070)

=====

Compound: Tm3Th3MnTl2
Source: Alexandria via LeMat-Bulk
Functional: PBE
Structure: relaxed

Its formation energy from the elements is -136.0 meV/atom. The value obtained for the size of the total moment is 0.0 μB per formula unit. As for the uncorrected energy: -0.415 Ry per atom. For the density of states at the Fermi level, the calculation gives 11.12 states/eV/f.u.

a b c (Å): 3.7665 8.6916 8.6916
angles (deg): 120.00 90.00 90.00
Atoms (fractional coordinates):
Tm (0.0000, 0.6025, 0.6025)
Tm (0.0000, 0.0000, 0.3975)
Tm (0.0000, 0.3975, 0.0000)
Th (0.5000, 0.7633, 0.0000)
Th (0.5000, 0.0000, 0.7633)
Th (0.5000, 0.2367, 0.2367)
Mn (0.0000, 0.0000, 0.0000)
Tl (0.5000, 0.6667, 0.3333)
Tl (0.5000, 0.3333, 0.6667)